No. 1
# LiC3, relaxed, DFT PBE
# * ΔE to the lowest computed polymorph: 1171 meV per atom
# * energy relative to the elements: 1.403 eV/atom
data_LiC3
_space_group_name_H-M_alt 'I m m 2'
_space_group_IT_number 44
_cell_length_a 2.4941
_cell_length_b 4.9492
_cell_length_c 6.7624
_cell_angle_alpha 90.00
_cell_angle_beta 90.00
_cell_angle_gamma 90.00
loop_
_space_group_symop_operation_xyz
'x,y,z'
'-x,-y,z'
'-x,y,z'
'x,-y,z'
'x+1/2,y+1/2,z+1/2'
'-x+1/2,-y+1/2,z+1/2'
'-x+1/2,y+1/2,z+1/2'
'x+1/2,-y+1/2,z+1/2'
loop_
_atom_site_label
_atom_site_type_symbol
_atom_site_fract_x
_atom_site_fract_y
_atom_site_fract_z
_atom_site_occupancy
Li1 Li 0.0000 0.0000 0.0000 1
C1 C 0.0000 0.1489 0.6005 1
C2 C 0.0000 0.5000 0.1921 1



No. 2
# Li3C, relaxed, DFT PBE
# * ΔE to the lowest computed polymorph: 148 meV per atom
# * energy relative to the elements: 0.576 eV/atom
data_Li3C
_space_group_name_H-M_alt 'P m -3 m'
_space_group_IT_number 221
_space_group_name_Hall '-P 4 2 3'
_cell_length_a 4.1528
_cell_length_b 4.1528
_cell_length_c 4.1528
_cell_angle_alpha 90.00
_cell_angle_beta 90.00
_cell_angle_gamma 90.00
loop_
_atom_site_label
_atom_site_type_symbol
_atom_site_fract_x
_atom_site_fract_y
_atom_site_fract_z
_atom_site_occupancy
Li1 Li 0.0000 0.0000 0.5000 1
C1 C 0.0000 0.0000 0.0000 1



No. 3
# LiC3, relaxed, DFT PBE
# * ΔE to the lowest computed polymorph: 1581 meV per atom
# * energy relative to the elements: 1.812 eV/atom
data_LiC3
_space_group_name_H-M_alt 'R -3 m'
_space_group_IT_number 166
_space_group_name_Hall '-R 3 2"'
_cell_length_a 2.4988
_cell_length_b 2.4988
_cell_length_c 15.9520
_cell_angle_alpha 90.00
_cell_angle_beta 90.00
_cell_angle_gamma 120.00
loop_
_atom_site_label
_atom_site_type_symbol
_atom_site_fract_x
_atom_site_fract_y
_atom_site_fract_z
_atom_site_occupancy
Li1 Li 0.0000 0.0000 0.0000 1
C1 C 0.0000 0.0000 0.2245 1
C2 C 0.0000 0.0000 0.5000 1



No. 4
# LiC2, relaxed, DFT PBE
# * ΔE to the lowest computed polymorph: 16 meV per atom
# * energy relative to the elements: 0.183 eV/atom
data_LiC2
_space_group_name_H-M_alt 'P 63/m m c'
_space_group_IT_number 194
_space_group_name_Hall '-P 6c 2c'
_cell_length_a 2.5496
_cell_length_b 2.5496
_cell_length_c 7.9821
_cell_angle_alpha 90.00
_cell_angle_beta 90.00
_cell_angle_gamma 120.00
loop_
_atom_site_label
_atom_site_type_symbol
_atom_site_fract_x
_atom_site_fract_y
_atom_site_fract_z
_atom_site_occupancy
Li1 Li 0.3333 0.6667 0.2500 1
C1 C 0.3333 0.6667 0.5156 1



No. 5
# LiC3, relaxed, DFT PBE
# * ΔE to the lowest computed polymorph: 1434 meV per atom
# * energy relative to the elements: 1.666 eV/atom
data_LiC3
_space_group_name_H-M_alt 'P -6 m 2'
_space_group_IT_number 187
_space_group_name_Hall 'P -6 2'
_cell_length_a 2.5528
_cell_length_b 2.5528
_cell_length_c 5.0202
_cell_angle_alpha 90.00
_cell_angle_beta 90.00
_cell_angle_gamma 120.00
loop_
_atom_site_label
_atom_site_type_symbol
_atom_site_fract_x
_atom_site_fract_y
_atom_site_fract_z
_atom_site_occupancy
Li1 Li 0.0000 0.0000 0.0000 1
C1 C 0.0000 0.0000 0.5000 1
C2 C 0.3333 0.6667 0.3296 1



No. 6
# Li3C, relaxed, DFT PBE
# * ΔE to the lowest computed polymorph: 118 meV per atom
# * energy relative to the elements: 0.546 eV/atom
data_Li3C
_space_group_name_H-M_alt 'P 63/m m c'
_space_group_IT_number 194
_space_group_name_Hall '-P 6c 2c'
_cell_length_a 5.0498
_cell_length_b 5.0498
_cell_length_c 3.7060
_cell_angle_alpha 90.00
_cell_angle_beta 90.00
_cell_angle_gamma 120.00
loop_
_atom_site_label
_atom_site_type_symbol
_atom_site_fract_x
_atom_site_fract_y
_atom_site_fract_z
_atom_site_occupancy
Li1 Li 0.1870 0.3740 0.2500 1
C1 C 0.3333 0.6667 0.7500 1



Among the records above, which one has the lowest ΔE to the lowest computed polymorph?
LiC2